The following is a DFT calculation (PBEsol) of a relaxed structure of Cs2KPRh.

```
Cs2KPRh
1.0
6.5770 0.0000 0.0000
0.0000 6.5770 0.0000
0.0000 0.0000 5.2738
Cs K P Rh
2 1 1 1
Direct
0.0000 0.5000 0.0000 Cs
0.5000 0.0000 0.0000 Cs
0.0000 0.0000 0.0000 K
0.0000 0.0000 0.5000 P
0.5000 0.5000 0.5000 Rh
```

Calculated values
total magnetic moment: 1.88 μB per cell
total energy: -10.906 eV/cell
space group: No. 123
ΔH_f (0 K): 1.21 eV/atom